# P2I4Br3 (GGA-PBE, optimized geometry)
data_P2I4Br3
_chemical_formula_sum 'P4 I8 Br6'
_cell_length_a 17.9569
_cell_length_b 8.1320
_cell_length_c 6.8781
_cell_angle_alpha 77.73
_cell_angle_beta 73.89
_cell_angle_gamma 76.98
_symmetry_space_group_name_H-M 'P 1'
_symmetry_Int_Tables_number 1
loop_
_symmetry_equiv_pos_as_xyz
'x,y,z'
loop_
_atom_site_label
_atom_site_type_symbol
_atom_site_fract_x
_atom_site_fract_y
_atom_site_fract_z
P1 P 0.3871 0.2213 0.5911
P2 P 0.0424 0.5428 0.8512
P3 P 0.6129 0.7787 0.4089
P4 P 0.9576 0.4572 0.1488
I1 I 0.3080 0.0726 0.2324
I2 I 0.0947 0.7343 0.9975
I3 I 0.6920 0.9274 0.7676
I4 I 0.9053 0.2657 0.0025
I5 I 0.0571 0.2566 0.3110
I6 I 0.4894 0.7408 0.6734
I7 I 0.9429 0.7434 0.6890
I8 I 0.5106 0.2592 0.3266
Br1 Br 0.7909 0.0595 0.4573
Br2 Br 0.5706 0.7627 0.1243
Br3 Br 0.2091 0.9405 0.5427
Br4 Br 0.4294 0.2373 0.8757
Br5 Br 0.3117 0.4796 0.5497
Br6 Br 0.6883 0.5204 0.4503
# Fermi-level density of states	0.00	states/eV/atom
# formation energy (no corrections)	-0.117	eV per atom
# calculated density	2.9	g/cm3

***

# PIBr3 (GGA-PBE, optimized geometry)
data_PIBr3
_chemical_formula_sum 'P2 I2 Br6'
_cell_length_a 11.5791
_cell_length_b 7.7514
_cell_length_c 8.9063
_cell_angle_alpha 115.80
_cell_angle_beta 130.55
_cell_angle_gamma 90.00
_symmetry_space_group_name_H-M 'P 1'
_symmetry_Int_Tables_number 1
loop_
_symmetry_equiv_pos_as_xyz
'x,y,z'
loop_
_atom_site_label
_atom_site_type_symbol
_atom_site_fract_x
_atom_site_fract_y
_atom_site_fract_z
P1 P 0.0848 0.9965 0.5000
P2 P 0.5848 0.0035 0.5000
I1 I 0.1628 0.6770 0.5000
I2 I 0.6628 0.3230 0.5000
Br1 Br 0.6251 0.1572 0.8167
Br2 Br 0.3084 0.8405 0.1833
Br3 Br 0.1251 0.1595 0.8167
Br4 Br 0.6606 0.7148 0.5000
Br5 Br 0.8084 0.8428 0.1833
Br6 Br 0.1606 0.2852 0.5000
# Fermi-level density of states	0.62	states/eV/atom
# distance to the lowest polymorph of the same formula	3.5	meV per atom
# formation energy (no corrections)	-0.207	eV per atom
# calculated density	2.7	g/cm3

***

# P2I2Br (GGA-PBE, optimized geometry)
data_P2I2Br
_chemical_formula_sum 'P4 I4 Br2'
_cell_length_a 9.6586
_cell_length_b 7.6190
_cell_length_c 13.1810
_cell_angle_alpha 90.93
_cell_angle_beta 43.00
_cell_angle_gamma 62.32
_symmetry_space_group_name_H-M 'P 1'
_symmetry_Int_Tables_number 1
loop_
_symmetry_equiv_pos_as_xyz
'x,y,z'
loop_
_atom_site_label
_atom_site_type_symbol
_atom_site_fract_x
_atom_site_fract_y
_atom_site_fract_z
P1 P 0.5701 0.9617 0.2841
P2 P 0.1497 0.4481 0.8580
P3 P 0.8503 0.5519 0.1420
P4 P 0.4299 0.0383 0.7159
I1 I 0.3720 0.5539 0.8382
I2 I 0.4159 0.0814 0.1882
I3 I 0.6280 0.4461 0.1618
I4 I 0.5841 0.9186 0.8118
Br1 Br 0.8085 0.9308 0.4345
Br2 Br 0.1915 0.0692 0.5655
# Fermi-level density of states	0.00	states/eV/atom
# distance to the lowest polymorph of the same formula	0.0	meV per atom
# formation energy (no corrections)	-0.096	eV per atom
# calculated density	2.8	g/cm3

***

# PIBr3 (GGA-PBE, optimized geometry)
data_PIBr3
_chemical_formula_sum 'P2 I2 Br6'
_cell_length_a 7.1259
_cell_length_b 7.5395
_cell_length_c 9.9057
_cell_angle_alpha 90.00
_cell_angle_beta 90.00
_cell_angle_gamma 116.07
_symmetry_space_group_name_H-M 'P 1'
_symmetry_Int_Tables_number 1
loop_
_symmetry_equiv_pos_as_xyz
'x,y,z'
loop_
_atom_site_label
_atom_site_type_symbol
_atom_site_fract_x
_atom_site_fract_y
_atom_site_fract_z
P1 P 0.3644 0.1348 0.2500
P2 P 0.6356 0.8652 0.7500
I1 I 0.1232 0.7487 0.2500
I2 I 0.8768 0.2513 0.7500
Br1 Br 0.7514 0.7610 0.5729
Br2 Br 0.2486 0.2390 0.4271
Br3 Br 0.7514 0.7610 0.9271
Br4 Br 0.2486 0.2390 0.0729
Br5 Br 0.7305 0.3550 0.2500
Br6 Br 0.2695 0.6450 0.7500
# Fermi-level density of states	0.59	states/eV/atom
# distance to the lowest polymorph of the same formula	0.0	meV per atom
# formation energy (no corrections)	-0.210	eV per atom
# calculated density	2.8	g/cm3

***

# Pr4PI2Br (GGA-PBE, optimized geometry)
data_Pr4PI2Br
_chemical_formula_sum 'Pr4 P1 I2 Br1'
_cell_length_a 4.1855
_cell_length_b 7.2602
_cell_length_c 8.4456
_cell_angle_alpha 106.42
_cell_angle_beta 90.00
_cell_angle_gamma 90.00
_symmetry_space_group_name_H-M 'P 1'
_symmetry_Int_Tables_number 1
loop_
_symmetry_equiv_pos_as_xyz
'x,y,z'
loop_
_atom_site_label
_atom_site_type_symbol
_atom_site_fract_x
_atom_site_fract_y
_atom_site_fract_z
Pr1 Pr 0.5000 0.2537 0.2021
Pr2 Pr 0.5000 0.7463 0.7979
Pr3 Pr 0.0000 0.2847 0.8050
Pr4 Pr 0.0000 0.7153 0.1950
P1 P 0.5000 0.5000 0.0000
I1 I 0.5000 0.0000 0.5000
I2 I 0.0000 0.5000 0.5000
Br1 Br 0.0000 0.0000 0.0000
# Fermi-level density of states	0.51	states/eV/atom
# formation energy (no corrections)	-1.143	eV per atom
# calculated density	6.3	g/cm3

***

# Rb2PI6Br (GGA-PBE, optimized geometry)
data_Rb2PI6Br
_chemical_formula_sum 'Rb2 P1 I6 Br1'
_cell_length_a 8.1725
_cell_length_b 8.1725
_cell_length_c 8.6142
_cell_angle_alpha 61.68
_cell_angle_beta 61.68
_cell_angle_gamma 90.00
_symmetry_space_group_name_H-M 'P 1'
_symmetry_Int_Tables_number 1
loop_
_symmetry_equiv_pos_as_xyz
'x,y,z'
loop_
_atom_site_label
_atom_site_type_symbol
_atom_site_fract_x
_atom_site_fract_y
_atom_site_fract_z
I1 I 0.2828 0.2828 0.4343
I2 I 0.7172 0.7172 0.5657
I3 I 0.2646 0.2646 0.0000
I4 I 0.7354 0.7354 0.0000
I5 I 0.7354 0.2646 0.0000
I6 I 0.2646 0.7354 0.0000
P1 P 0.5000 0.5000 0.0000
Br1 Br 0.0000 0.0000 0.0000
Rb1 Rb 0.7500 0.2500 0.5000
Rb2 Rb 0.2500 0.7500 0.5000
# Fermi-level density of states	0.23	states/eV/atom
# formation energy (no corrections)	-0.553	eV per atom
# calculated density	4.1	g/cm3

***

# SbPI2Br (GGA-PBE, optimized geometry)
data_SbPI2Br
_chemical_formula_sum 'Sb1 P1 I2 Br1'
_cell_length_a 5.9176
_cell_length_b 5.9176
_cell_length_c 5.8594
_cell_angle_alpha 90.00
_cell_angle_beta 90.00
_cell_angle_gamma 90.00
_symmetry_space_group_name_H-M 'P 1'
_symmetry_Int_Tables_number 1
loop_
_symmetry_equiv_pos_as_xyz
'x,y,z'
loop_
_atom_site_label
_atom_site_type_symbol
_atom_site_fract_x
_atom_site_fract_y
_atom_site_fract_z
I1 I 0.0000 0.5000 0.0000
I2 I 0.5000 0.0000 0.0000
Sb1 Sb 0.0000 0.0000 0.5000
Br1 Br 0.0000 0.0000 0.0000
P1 P 0.5000 0.5000 0.5000
# Fermi-level density of states	0.55	states/eV/atom
# distance to the lowest polymorph of the same formula	720.9	meV per atom
# formation energy (no corrections)	1.083	eV per atom
# calculated density	3.9	g/cm3

***

# SbPI2Br (GGA-PBE, optimized geometry)
data_SbPI2Br
_chemical_formula_sum 'Sb1 P1 I2 Br1'
_cell_length_a 5.4017
_cell_length_b 5.4017
_cell_length_c 5.5197
_cell_angle_alpha 90.00
_cell_angle_beta 90.00
_cell_angle_gamma 90.00
_symmetry_space_group_name_H-M 'P 1'
_symmetry_Int_Tables_number 1
loop_
_symmetry_equiv_pos_as_xyz
'x,y,z'
loop_
_atom_site_label
_atom_site_type_symbol
_atom_site_fract_x
_atom_site_fract_y
_atom_site_fract_z
I1 I 0.0000 0.5000 0.0000
I2 I 0.5000 0.0000 0.0000
Sb1 Sb 0.0000 0.0000 0.5000
Br1 Br 0.5000 0.5000 0.5000
P1 P 0.0000 0.0000 0.0000
# Fermi-level density of states	0.64	states/eV/atom
# distance to the lowest polymorph of the same formula	0.0	meV per atom
# formation energy (no corrections)	0.362	eV per atom
# calculated density	5.0	g/cm3

***

# PSeIBr2 (GGA-PBE, optimized geometry)
data_PSeIBr2
_chemical_formula_sum 'P1 Se1 I1 Br2'
_cell_length_a 5.7513
_cell_length_b 5.7513
_cell_length_c 5.5115
_cell_angle_alpha 90.00
_cell_angle_beta 90.00
_cell_angle_gamma 90.00
_symmetry_space_group_name_H-M 'P 1'
_symmetry_Int_Tables_number 1
loop_
_symmetry_equiv_pos_as_xyz
'x,y,z'
loop_
_atom_site_label
_atom_site_type_symbol
_atom_site_fract_x
_atom_site_fract_y
_atom_site_fract_z
I1 I 0.0000 0.0000 0.0000
P1 P 0.5000 0.5000 0.5000
Se1 Se 0.0000 0.0000 0.5000
Br1 Br 0.0000 0.5000 0.0000
Br2 Br 0.5000 0.0000 0.0000
# Fermi-level density of states	1.01	states/eV/atom
# distance to the lowest polymorph of the same formula	658.6	meV per atom
# formation energy (no corrections)	0.955	eV per atom
# calculated density	3.6	g/cm3

***

# PSeIBr2 (GGA-PBE, optimized geometry)
data_PSeIBr2
_chemical_formula_sum 'P1 Se1 I1 Br2'
_cell_length_a 4.9564
_cell_length_b 4.9564
_cell_length_c 5.5049
_cell_angle_alpha 90.00
_cell_angle_beta 90.00
_cell_angle_gamma 90.00
_symmetry_space_group_name_H-M 'P 1'
_symmetry_Int_Tables_number 1
loop_
_symmetry_equiv_pos_as_xyz
'x,y,z'
loop_
_atom_site_label
_atom_site_type_symbol
_atom_site_fract_x
_atom_site_fract_y
_atom_site_fract_z
I1 I 0.5000 0.5000 0.5000
P1 P 0.0000 0.0000 0.0000
Se1 Se 0.0000 0.0000 0.5000
Br1 Br 0.0000 0.5000 0.0000
Br2 Br 0.5000 0.0000 0.0000
# Fermi-level density of states	0.74	states/eV/atom
# distance to the lowest polymorph of the same formula	0.0	meV per atom
# formation energy (no corrections)	0.296	eV per atom
# calculated density	4.9	g/cm3

***

# Sr6P2I3Br (GGA-PBE, optimized geometry)
data_Sr6P2I3Br
_chemical_formula_sum 'Sr6 P2 I3 Br1'
_cell_length_a 7.8491
_cell_length_b 7.8491
_cell_length_c 8.2228
_cell_angle_alpha 99.12
_cell_angle_beta 99.12
_cell_angle_gamma 119.91
_symmetry_space_group_name_H-M 'P 1'
_symmetry_Int_Tables_number 1
loop_
_symmetry_equiv_pos_as_xyz
'x,y,z'
loop_
_atom_site_label
_atom_site_type_symbol
_atom_site_fract_x
_atom_site_fract_y
_atom_site_fract_z
Sr1 Sr 0.9303 0.5739 0.7922
Sr2 Sr 0.7115 0.7115 0.2030
Sr3 Sr 0.0697 0.4261 0.2078
Sr4 Sr 0.5739 0.9303 0.7922
Sr5 Sr 0.2885 0.2885 0.7970
Sr6 Sr 0.4261 0.0697 0.2078
P1 P 0.3324 0.6676 0.0000
P2 P 0.6676 0.3324 0.0000
I1 I 0.1595 0.8405 0.5000
I2 I 0.8405 0.1595 0.5000
I3 I 0.5000 0.5000 0.5000
Br1 Br 0.0000 0.0000 0.0000
# Fermi-level density of states	0.38	states/eV/atom
# formation energy (no corrections)	-1.377	eV per atom
# calculated density	4.2	g/cm3

***

# TcPIBr2 (GGA-PBE, optimized geometry)
data_TcPIBr2
_chemical_formula_sum 'Tc1 P1 I1 Br2'
_cell_length_a 6.0288
_cell_length_b 5.2344
_cell_length_c 6.0288
_cell_angle_alpha 90.00
_cell_angle_beta 90.00
_cell_angle_gamma 90.00
_symmetry_space_group_name_H-M 'P 1'
_symmetry_Int_Tables_number 1
loop_
_symmetry_equiv_pos_as_xyz
'x,y,z'
loop_
_atom_site_label
_atom_site_type_symbol
_atom_site_fract_x
_atom_site_fract_y
_atom_site_fract_z
I1 I 0.0000 0.0000 0.0000
P1 P 0.5000 0.5000 0.5000
Tc1 Tc 0.0000 0.5000 0.0000
Br1 Br 0.0000 0.0000 0.5000
Br2 Br 0.5000 0.0000 0.0000
# Fermi-level density of states	0.30	states/eV/atom
# formation energy (no corrections)	1.436	eV per atom
# calculated density	3.6	g/cm3